#one
RbZrOsCl2: optimized geometry, PBE.

Geometry as POSCAR:
```
RbZrOsCl2
1.0
5.041 0.000 0.000
0.000 5.041 0.000
0.000 0.000 8.596
Rb Zr Os Cl
1 1 1 2
Cartesian
0.000 0.000 0.000
0.000 0.000 4.298
2.520 2.520 0.000
0.000 2.520 4.298
2.520 0.000 4.298
```

Summary:
Space-group type: P4/mmm (123)
Calculated volume (Å³ per cell): 218
Total magnetic moment (μB/cell): 5.17

=====

#two
RbZrOsCl2: optimized geometry, PBE.

Geometry as POSCAR:
```
RbZrOsCl2
1.0
5.318 0.000 0.000
0.000 5.318 0.000
0.000 0.000 5.012
Rb Zr Os Cl
1 1 1 2
Cartesian
0.000 0.000 0.000
2.659 2.659 2.506
2.659 2.659 0.000
0.000 2.659 2.506
2.659 0.000 2.506
```

Summary:
Space-group type: P4/mmm (123)
Calculated volume (Å³ per cell): 142
Total magnetic moment (μB/cell): 1.02

=====

#two is the most stable structure; the next one sits 0.963 eV/atom above it.

=====

#one
ReOs2Cl: optimized geometry, PBE.

Geometry as POSCAR:
```
ReOs2Cl
1.0
4.898 -1.403 0.000
4.898 1.403 0.000
-0.068 0.000 4.377
Re Os Cl
1 2 1
Cartesian
0.000 0.000 0.000
2.705 0.000 3.343
7.023 0.000 1.034
4.864 0.000 2.188
```

Summary:
Space-group type: C2/m (12)
Calculated volume (Å³ per cell): 60
Total magnetic moment (μB/cell): 0.00

=====

#two
ReOs2Cl: optimized geometry, PBE.

Geometry as POSCAR:
```
ReOs2Cl
1.0
2.802 0.000 0.000
0.000 3.705 0.000
0.000 0.000 6.799
Re Os Cl
1 2 1
Cartesian
0.000 0.000 0.000
0.000 0.000 4.258
1.401 1.853 5.370
0.000 1.853 1.707
```

Summary:
Space-group type: Pmm2 (25)
Calculated volume (Å³ per cell): 71
Total magnetic moment (μB/cell): 0.00

=====

#three
ReOs2Cl: optimized geometry, PBE.

Geometry as POSCAR:
```
ReOs2Cl
1.0
2.828 0.000 0.000
0.000 4.049 0.000
-1.367 0.000 5.102
Re Os Cl
1 2 1
Cartesian
0.000 0.000 0.000
0.017 2.024 3.797
1.444 2.024 1.305
-0.683 0.000 2.551
```

Summary:
Space-group type: P2/m (10)
Calculated volume (Å³ per cell): 58
Total magnetic moment (μB/cell): 0.00

=====

#four
ReOs2Cl: optimized geometry, PBE.

Geometry as POSCAR:
```
ReOs2Cl
1.0
4.649 0.000 0.000
0.000 4.649 0.000
0.000 0.000 2.801
Re Os Cl
1 2 1
Cartesian
0.000 0.000 0.000
0.000 2.325 1.401
2.325 0.000 1.401
2.325 2.325 0.000
```

Summary:
Space-group type: P4/mmm (123)
Calculated volume (Å³ per cell): 61
Total magnetic moment (μB/cell): 0.00

=====

#two is the most stable structure; the next one sits 0.170 eV/atom above it.

=====

#one
ReOs2Cl: optimized geometry, PBE.

Geometry as POSCAR:
```
ReOs2Cl
1.0
1.393 -2.440 0.000
1.393 2.440 0.000
0.000 0.000 9.120
Re Os Cl
1 2 1
Cartesian
0.000 0.000 0.000
1.393 0.000 2.222
1.393 0.000 6.898
0.000 0.000 4.560
```

Summary:
Space-group type: Cmmm (65)
Calculated volume (Å³ per cell): 62
Total magnetic moment (μB/cell): 0.00

=====

#two
ReOs2Cl: optimized geometry, PBE.

Geometry as POSCAR:
```
ReOs2Cl
1.0
5.005 -1.397 0.000
5.005 1.397 0.000
-0.865 0.000 4.565
Re Os Cl
1 2 1
Cartesian
0.000 0.000 0.000
2.608 0.000 3.125
5.243 0.000 2.549
7.113 0.000 1.092
```

Summary:
Space-group type: Cm (8)
Calculated volume (Å³ per cell): 64
Total magnetic moment (μB/cell): 0.00

=====

#two is the most stable structure; the next one sits 0.019 eV/atom above it.

=====

#one
ReOs2Cl: optimized geometry, PBE.

Geometry as POSCAR:
```
ReOs2Cl
1.0
3.038 -3.566 0.000
3.038 3.566 0.000
0.000 0.000 2.786
Re Os Cl
1 2 1
Cartesian
0.000 0.000 0.000
1.519 1.783 1.393
1.519 -1.783 1.393
3.038 0.000 0.000
```

Summary:
Space-group type: Cmmm (65)
Calculated volume (Å³ per cell): 60
Total magnetic moment (μB/cell): 0.01

=====

#two
ReOs2Cl: optimized geometry, PBE.

Geometry as POSCAR:
```
ReOs2Cl
1.0
-2.952 2.952 4.697
2.952 -2.952 4.697
2.952 2.952 -4.697
Re Os Cl
2 4 2
Cartesian
0.000 0.000 0.000
0.000 2.952 2.349
1.476 -1.470 3.523
1.482 1.476 1.174
1.476 4.421 -1.174
1.470 1.476 5.872
2.952 0.000 2.349
0.000 0.000 4.697
```

Summary:
Space-group type: I-42d (122)
Calculated volume (Å³ per cell): 164
Total magnetic moment (μB/cell): 0.00

=====

#one is the most stable structure; the next one sits 0.054 eV/atom above it.

=====

#one
ReOsCl: optimized geometry, PBE.

Geometry as POSCAR:
```
ReOsCl
1.0
0.000 2.497 6.846
1.405 0.000 6.846
1.405 2.497 0.000
Re Os Cl
1 1 1
Cartesian
0.000 0.000 0.000
1.405 2.497 8.959
1.405 2.497 4.638
```

Summary:
Space-group type: Fmm2 (42)
Calculated volume (Å³ per cell): 48
Total magnetic moment (μB/cell): 0.00

=====

#two
ReOsCl: optimized geometry, PBE.

Geometry as POSCAR:
```
ReOsCl
1.0
0.000 2.986 2.986
2.986 0.000 2.986
2.986 2.986 0.000
Re Os Cl
1 1 1
Cartesian
0.000 0.000 0.000
4.479 4.479 4.479
1.493 1.493 1.493
```

Summary:
Space-group type: F-43m (216)
Calculated volume (Å³ per cell): 53
Total magnetic moment (μB/cell): 0.00

=====

#three
ReOsCl: optimized geometry, PBE.

Geometry as POSCAR:
```
ReOsCl
1.0
2.858 0.000 0.000
-1.429 2.475 0.000
0.000 0.000 6.495
Re Os Cl
1 1 1
Cartesian
0.000 0.000 0.000
1.429 0.825 4.490
0.000 1.650 2.080
```

Summary:
Space-group type: P3m1 (156)
Calculated volume (Å³ per cell): 46
Total magnetic moment (μB/cell): 0.00

=====

#three is the most stable structure; the next one sits 0.351 eV/atom above it.

=====

#one
Re2OsCl: optimized geometry, PBE.

Geometry as POSCAR:
```
Re2OsCl
1.0
-2.206 2.206 3.115
2.206 -2.206 3.115
2.206 2.206 -3.115
Re Os Cl
2 1 1
Cartesian
0.000 0.000 0.000
0.000 2.206 1.558
2.206 0.000 1.558
0.000 0.000 3.115
```

Summary:
Space-group type: I-4m2 (119)
Calculated volume (Å³ per cell): 61
Total magnetic moment (μB/cell): 0.00

=====

#two
Re2OsCl: optimized geometry, PBE.

Geometry as POSCAR:
```
Re2OsCl
1.0
-1.426 2.271 4.503
1.426 -2.271 4.503
1.426 2.271 -4.503
Re Os Cl
2 1 1
Cartesian
0.000 0.000 0.000
0.000 2.271 2.050
0.000 0.000 4.207
1.426 0.000 2.039
```

Summary:
Space-group type: Imm2 (44)
Calculated volume (Å³ per cell): 58
Total magnetic moment (μB/cell): 0.00

=====

#three
Re2OsCl: optimized geometry, PBE.

Geometry as POSCAR:
```
Re2OsCl
1.0
2.774 0.000 0.000
0.000 3.543 0.000
0.000 0.000 6.708
Re Os Cl
2 1 1
Cartesian
0.000 0.000 1.393
0.000 0.000 5.314
1.387 1.772 0.000
1.387 1.772 3.354
```

Summary:
Space-group type: Pmmm (47)
Calculated volume (Å³ per cell): 66
Total magnetic moment (μB/cell): 0.00

=====

#three is the most stable structure; the next one sits 0.051 eV/atom above it.

=====

#one
Re2OsCl: optimized geometry, PBE.

Geometry as POSCAR:
```
Re2OsCl
1.0
2.837 0.000 0.000
0.000 4.034 0.000
-1.405 0.000 5.162
Re Os Cl
2 1 1
Cartesian
0.039 0.000 1.310
1.392 0.000 3.852
1.418 2.017 0.000
0.716 2.017 2.581
```

Summary:
Space-group type: P2/m (10)
Calculated volume (Å³ per cell): 59
Total magnetic moment (μB/cell): 0.00

=====

#two
Re2OsCl: optimized geometry, PBE.

Geometry as POSCAR:
```
Re2OsCl
1.0
2.838 0.000 0.000
0.000 4.584 0.000
0.000 0.000 4.654
Re Os Cl
2 1 1
Cartesian
0.000 0.000 0.000
1.419 2.292 0.000
0.000 2.292 2.327
1.419 0.000 2.327
```

Summary:
Space-group type: Pmmm (47)
Calculated volume (Å³ per cell): 61
Total magnetic moment (μB/cell): 0.00

=====

#three
Re2OsCl: optimized geometry, PBE.

Geometry as POSCAR:
```
Re2OsCl
1.0
2.793 0.000 0.000
0.000 2.793 0.000
0.000 0.000 7.714
Re Os Cl
2 1 1
Cartesian
0.000 0.000 1.873
0.000 0.000 5.841
1.396 1.396 0.000
1.396 1.396 3.857
```

Summary:
Space-group type: P4/mmm (123)
Calculated volume (Å³ per cell): 60
Total magnetic moment (μB/cell): 0.00

=====

#three is the most stable structure; the next one sits 0.141 eV/atom above it.

=====

#one
Re2OsCl: optimized geometry, PBE.

Geometry as POSCAR:
```
Re2OsCl
1.0
4.613 0.000 0.000
0.000 4.613 0.000
0.000 0.000 2.813
Re Os Cl
2 1 1
Cartesian
0.000 2.306 0.000
2.306 0.000 0.000
0.000 0.000 1.407
2.306 2.306 1.407
```

Summary:
Space-group type: P4/mmm (123)
Calculated volume (Å³ per cell): 60
Total magnetic moment (μB/cell): 0.00

=====

#two
Re2OsCl: optimized geometry, PBE.

Geometry as POSCAR:
```
Re2OsCl
1.0
-1.437 2.261 4.503
1.437 -2.261 4.503
1.437 2.261 -4.503
Re Os Cl
2 1 1
Cartesian
0.000 0.000 2.094
0.000 0.000 6.913
0.000 2.261 0.000
1.437 0.000 0.000
```

Summary:
Space-group type: Immm (71)
Calculated volume (Å³ per cell): 59
Total magnetic moment (μB/cell): 0.00

=====

#two is the most stable structure; the next one sits 0.070 eV/atom above it.

=====

#one
Re3OsCl: optimized geometry, PBE.

Geometry as POSCAR:
```
Re3OsCl
1.0
4.297 0.000 0.000
0.000 4.297 0.000
0.000 0.000 4.297
Re Os Cl
3 1 1
Cartesian
0.000 0.000 2.149
0.000 2.149 0.000
2.149 0.000 0.000
2.149 2.149 2.149
0.000 0.000 0.000
```

Summary:
Space-group type: Pm-3m (221)
Calculated volume (Å³ per cell): 79
Total magnetic moment (μB/cell): 0.00

=====

#two
Re3OsCl: optimized geometry, PBE.

Geometry as POSCAR:
```
Re3OsCl
1.0
4.803 0.000 0.000
0.000 4.803 0.000
0.000 0.000 4.803
Re Os Cl
3 1 1
Cartesian
0.000 0.000 2.401
0.000 2.401 0.000
2.401 0.000 0.000
0.000 0.000 0.000
2.401 2.401 2.401
```

Summary:
Space-group type: Pm-3m (221)
Calculated volume (Å³ per cell): 111
Total magnetic moment (μB/cell): 3.83

=====

#one is the most stable structure; the next one sits 0.595 eV/atom above it.

=====

#one
OsRhCl2: optimized geometry, PBE.

Geometry as POSCAR:
```
OsRhCl2
1.0
4.366 0.000 0.000
0.000 4.366 0.000
0.000 0.000 3.164
Os Rh Cl
1 1 2
Cartesian
0.000 0.000 0.000
2.183 2.183 0.000
0.000 2.183 1.582
2.183 0.000 1.582
```

Summary:
Space-group type: P4/mmm (123)
Calculated volume (Å³ per cell): 60
Total magnetic moment (μB/cell): 0.00

=====

#two
OsRhCl2: optimized geometry, PBE.

Geometry as POSCAR:
```
OsRhCl2
1.0
-2.109 2.109 7.586
2.109 -2.109 7.586
2.109 2.109 -7.586
Os Rh Cl
2 2 4
Cartesian
0.000 0.000 0.000
0.000 2.109 3.793
2.109 0.000 3.793
0.000 0.000 7.586
3.164 1.002 -1.896
1.002 1.055 1.896
-1.055 1.108 5.689
1.108 1.055 9.482
```

Summary:
Space-group type: I-42d (122)
Calculated volume (Å³ per cell): 135
Total magnetic moment (μB/cell): 0.00

=====

#three
OsRhCl2: optimized geometry, PBE.

Geometry as POSCAR:
```
OsRhCl2
1.0
0.000 3.111 3.111
3.111 0.000 3.111
3.111 3.111 0.000
Os Rh Cl
1 1 2
Cartesian
0.000 0.000 0.000
3.111 3.111 3.111
1.555 1.555 1.555
4.666 4.666 4.666
```

Summary:
Space-group type: Fm-3m (225)
Calculated volume (Å³ per cell): 60
Total magnetic moment (μB/cell): 0.00

=====

#two is the most stable structure; the next one sits 0.355 eV/atom above it.

=====

#one
OsRuS2Cl: optimized geometry, PBE.

Geometry as POSCAR:
```
OsRuS2Cl
1.0
4.581 0.000 0.000
0.000 4.581 0.000
0.000 0.000 4.737
Os Ru S Cl
1 1 2 1
Cartesian
0.000 0.000 0.000
2.291 2.291 2.369
0.000 2.291 2.369
2.291 0.000 2.369
2.291 2.291 0.000
```

Summary:
Space-group type: P4/mmm (123)
Calculated volume (Å³ per cell): 99
Total magnetic moment (μB/cell): 3.35

=====

#two
OsRuS2Cl: optimized geometry, PBE.

Geometry as POSCAR:
```
OsRuS2Cl
1.0
4.548 0.000 0.000
0.000 4.548 0.000
0.000 0.000 4.950
Os Ru S Cl
1 1 2 1
Cartesian
0.000 0.000 0.000
2.274 2.274 2.475
0.000 2.274 0.000
2.274 0.000 0.000
0.000 0.000 2.475
```

Summary:
Space-group type: P4/mmm (123)
Calculated volume (Å³ per cell): 102
Total magnetic moment (μB/cell): 2.60

=====

#two is the most stable structure; the next one sits 0.231 eV/atom above it.

=====

#one
OsRuSCl2: optimized geometry, PBE.

Geometry as POSCAR:
```
OsRuSCl2
1.0
4.843 0.000 0.000
0.000 4.843 0.000
0.000 0.000 4.485
Os Ru S Cl
1 1 1 2
Cartesian
0.000 0.000 0.000
2.421 2.421 2.243
2.421 2.421 0.000
0.000 2.421 2.243
2.421 0.000 2.243
```

Summary:
Space-group type: P4/mmm (123)
Calculated volume (Å³ per cell): 105
Total magnetic moment (μB/cell): 3.97

=====

#two
OsRuSCl2: optimized geometry, PBE.

Geometry as POSCAR:
```
OsRuSCl2
1.0
5.015 0.000 0.000
0.000 5.015 0.000
0.000 0.000 4.363
Os Ru S Cl
1 1 1 2
Cartesian
0.000 0.000 0.000
2.508 2.508 2.181
0.000 0.000 2.181
0.000 2.508 0.000
2.508 0.000 0.000
```

Summary:
Space-group type: P4/mmm (123)
Calculated volume (Å³ per cell): 110
Total magnetic moment (μB/cell): 2.92

=====

#two is the most stable structure; the next one sits 0.213 eV/atom above it.